Entry from Alexandria via LeMat-Bulk: HfTi3Cu at its PBEsol-relaxed geometry (SCAN).

The structure belongs to space group Pm-3m (No. 221); the cell edges are 4.723, 4.723 and 4.723 Å and the angles 90.00°, 90.00° and 90.00°. The distinct sites, in fractional coordinates, are Hf at (0.000, 0.000, 0.000), Ti at (0.000, 0.000, 0.500) and Cu at (0.500, 0.500, 0.500).

The total energy is -1.748 Ry per atom. The value obtained for the formation energy is 1405 meV/atom.

Entry from Alexandria via LeMat-Bulk: Ba2CdTe3 at its PBEsol-relaxed geometry (SCAN).

The structure belongs to space group Pnma (No. 62); the cell edges are 9.779, 4.727 and 18.965 Å and the angles 90.00°, 90.00° and 90.00°. The distinct sites, in fractional coordinates, are Ba at (0.072, 0.250, 0.213), Ba at (0.247, 0.250, 0.962), Cd at (0.131, 0.250, 0.636), Te at (0.011, 0.250, 0.403), Te at (0.111, 0.750, 0.071) and Te at (0.195, 0.250, 0.780).

The total energy is -2.820 Ry per atom. The value obtained for the formation energy from raw total energies is -1.49 eV per atom.

Entry from Alexandria via LeMat-Bulk: Sc2Ge2Rh at its PBEsol-relaxed geometry (SCAN).

The structure belongs to space group P4/mbm (No. 127); the cell edges are 6.435, 6.435 and 4.098 Å and the angles 90.00°, 90.00° and 90.00°. The distinct sites, in fractional coordinates, are Sc at (0.171, 0.329, 0.000), Ge at (0.138, 0.638, 0.500) and Rh at (0.000, 0.000, 0.500).

The total energy is -1.553 Ry per atom. The value obtained for the formation energy is -1045 meV/atom.

Entry from Alexandria via LeMat-Bulk: Dy2MgTiO6 at its PBEsol-relaxed geometry (SCAN).

The structure belongs to space group P2_1/c (No. 14); the cell edges are 5.263, 5.578 and 9.212 Å and the angles 90.00°, 124.51° and 90.00°. The distinct sites, in fractional coordinates, are Dy at (0.229, 0.068, 0.248), Mg at (0.000, 0.000, 0.500), Ti at (0.500, 0.000, 0.000), O at (0.144, 0.188, 0.944), O at (0.253, 0.704, 0.938) and O at (0.372, 0.043, 0.757).

The total energy is -1.399 Ry per atom. The value obtained for the formation energy from raw total energies is -3.63 eV per atom.

Entry from Alexandria via LeMat-Bulk: OsRu at its PBEsol-relaxed geometry (SCAN).

The structure belongs to space group Pmma (No. 51); the cell edges are 4.282, 2.706 and 4.697 Å and the angles 90.00°, 90.00° and 90.00°. The distinct sites, in fractional coordinates, are Os at (0.250, 0.000, 0.166) and Ru at (0.250, 0.500, 0.666).

The total energy is -3.923 Ry per atom. The value obtained for the formation energy is -20 meV/atom.

Entry from Alexandria via LeMat-Bulk: Dy3Sb5O12 at its PBEsol-relaxed geometry (SCAN).

The structure belongs to space group I-43m (No. 217); the cell edges are 10.695, 10.695 and 10.695 Å and the angles 90.00°, 90.00° and 90.00°. The distinct sites, in fractional coordinates, are Dy at (0.000, 0.250, 0.500), Sb at (0.000, 0.000, 0.279), Sb at (0.240, 0.240, 0.760), O at (0.102, 0.102, 0.606) and O at (0.138, 0.138, 0.341).

The total energy is -1.665 Ry per atom. The value obtained for the formation energy from raw total energies is -2.43 eV per atom.

Entry from Alexandria via LeMat-Bulk: LiMgTc at its PBEsol-relaxed geometry (SCAN).

The structure belongs to space group F-43m (No. 216); the cell edges are 5.866, 5.866 and 5.866 Å and the angles 90.00°, 90.00° and 90.00°. The distinct sites, in fractional coordinates, are Li at (0.000, 0.000, 0.000), Mg at (0.250, 0.250, 0.250) and Tc at (0.250, 0.250, 0.750).

The total energy is -0.966 Ry per atom. The value obtained for the formation energy is 1002 meV/atom.

Entry from Alexandria via LeMat-Bulk: ReAu at its PBEsol-relaxed geometry (SCAN).

The structure belongs to space group P2_1/m (No. 11); the cell edges are 2.829, 3.894 and 5.711 Å and the angles 90.00°, 90.87° and 90.00°. The distinct sites, in fractional coordinates, are Re at (0.213, 0.250, 0.100) and Au at (0.251, 0.250, 0.625).

The total energy is -5.130 Ry per atom. The value obtained for the formation energy is 332 meV/atom.

Entry from Alexandria via LeMat-Bulk: Co2SiTc at its PBEsol-relaxed geometry (SCAN).

The structure belongs to space group P4/mmm (No. 123); the cell edges are 2.627, 2.627 and 6.421 Å and the angles 90.00°, 90.00° and 90.00°. The distinct sites, in fractional coordinates, are Co at (0.000, 0.000, 0.215), Si at (0.500, 0.500, 0.000) and Tc at (0.500, 0.500, 0.500).

The total energy is -1.480 Ry per atom. The value obtained for the formation energy from raw total energies is -0.22 eV per atom.

Entry from Alexandria via LeMat-Bulk: CdSiMo2 at its PBEsol-relaxed geometry (SCAN).

The structure belongs to space group Cmmm (No. 65); the cell edges are 5.576, 8.234 and 2.692 Å and the angles 90.00°, 90.00° and 90.00°. The distinct sites, in fractional coordinates, are Cd at (0.000, 0.000, 0.000), Si at (0.000, 0.500, 0.000) and Mo at (0.250, 0.250, 0.500).

The total energy is -1.992 Ry per atom. The value obtained for the formation energy from raw total energies is 0.44 eV per atom.

Entry from Alexandria via LeMat-Bulk: LiCa3Ru at its PBEsol-relaxed geometry (SCAN).

The structure belongs to space group Pm-3m (No. 221); the cell edges are 5.202, 5.202 and 5.202 Å and the angles 90.00°, 90.00° and 90.00°. The distinct sites, in fractional coordinates, are Li at (0.000, 0.000, 0.000), Ca at (0.000, 0.000, 0.500) and Ru at (0.500, 0.500, 0.500).

The total energy is -0.901 Ry per atom. The value obtained for the formation energy is 988 meV/atom.

Entry from Alexandria via LeMat-Bulk: Rb3ReNi at its PBEsol-relaxed geometry (SCAN).

The structure belongs to space group Pm-3m (No. 221); the cell edges are 5.983, 5.983 and 5.983 Å and the angles 90.00°, 90.00° and 90.00°. The distinct sites, in fractional coordinates, are Rb at (0.000, 0.000, 0.500), Re at (0.500, 0.500, 0.500) and Ni at (0.000, 0.000, 0.000).

The total energy is -2.062 Ry per atom. The value obtained for the formation energy is 1847 meV/atom.

Entry from Alexandria via LeMat-Bulk: BeTc2 at its PBEsol-relaxed geometry (SCAN).

The structure belongs to space group I4/mmm (No. 139); the cell edges are 2.948, 2.948 and 8.347 Å and the angles 90.00°, 90.00° and 90.00°. The distinct sites, in fractional coordinates, are Be at (0.000, 0.000, 0.000) and Tc at (0.000, 0.000, 0.336).

The total energy is -1.845 Ry per atom. The value obtained for the formation energy is -272 meV/atom.

Entry from Alexandria via LeMat-Bulk: Cu2AsPt at its PBEsol-relaxed geometry (SCAN).

The structure belongs to space group Cmmm (No. 65); the cell edges are 5.152, 7.510 and 2.811 Å and the angles 90.00°, 90.00° and 90.00°. The distinct sites, in fractional coordinates, are Cu at (0.250, 0.250, 0.000), As at (0.000, 0.000, 0.500) and Pt at (0.000, 0.500, 0.500).

The total energy is -2.225 Ry per atom. The value obtained for the formation energy is -71 meV/atom.

Entry from Alexandria via LeMat-Bulk: Y3CdO at its PBEsol-relaxed geometry (SCAN).

The structure belongs to space group Pm-3m (No. 221); the cell edges are 4.725, 4.725 and 4.725 Å and the angles 90.00°, 90.00° and 90.00°. The distinct sites, in fractional coordinates, are Y at (0.000, 0.000, 0.500), Cd at (0.500, 0.500, 0.500) and O at (0.000, 0.000, 0.000).

The total energy is -1.880 Ry per atom. The value obtained for the formation energy from raw total energies is -1.54 eV per atom.

Entry from Alexandria via LeMat-Bulk: Zr3Au at its PBEsol-relaxed geometry (SCAN).

The structure belongs to space group I4/mmm (No. 139); the cell edges are 4.193, 4.193 and 9.173 Å and the angles 90.00°, 90.00° and 90.00°. The distinct sites, in fractional coordinates, are Zr at (0.000, 0.000, 0.000), Zr at (0.000, 0.500, 0.250) and Au at (0.000, 0.000, 0.500).

The total energy is -2.992 Ry per atom. The value obtained for the formation energy is -389 meV/atom.

Entry from Alexandria via LeMat-Bulk: MgCdBi2 at its PBEsol-relaxed geometry (SCAN).

The structure belongs to space group Fm-3m (No. 225); the cell edges are 7.486, 7.486 and 7.486 Å and the angles 90.00°, 90.00° and 90.00°. The distinct sites, in fractional coordinates, are Mg at (0.000, 0.000, 0.000), Cd at (0.000, 0.000, 0.500) and Bi at (0.250, 0.250, 0.250).

The total energy is -3.532 Ry per atom. The value obtained for the formation energy is 77 meV/atom.

Entry from Alexandria via LeMat-Bulk: Mg4CoRu at its PBEsol-relaxed geometry (SCAN).

The structure belongs to space group F-43m (No. 216); the cell edges are 7.413, 7.413 and 7.413 Å and the angles 90.00°, 90.00° and 90.00°. The distinct sites, in fractional coordinates, are Mg at (0.125, 0.125, 0.125), Co at (0.000, 0.000, 0.500) and Ru at (0.250, 0.250, 0.750).

The total energy is -0.839 Ry per atom. The value obtained for the formation energy is 586 meV/atom.

Entry from Alexandria via LeMat-Bulk: LiCdPb2 at its PBEsol-relaxed geometry (SCAN).

The structure belongs to space group P4/mmm (No. 123); the cell edges are 3.835, 3.835 and 6.671 Å and the angles 90.00°, 90.00° and 90.00°. The distinct sites, in fractional coordinates, are Li at (0.000, 0.000, 0.000), Cd at (0.000, 0.000, 0.500) and Pb at (0.500, 0.500, 0.248).

The total energy is -3.398 Ry per atom. The value obtained for the formation energy is -137 meV/atom.

Entry from Alexandria via LeMat-Bulk: Ni2AgH2 at its PBEsol-relaxed geometry (SCAN).

The structure belongs to space group I4/mmm (No. 139); the cell edges are 2.895, 2.895 and 10.199 Å and the angles 90.00°, 90.00° and 90.00°. The distinct sites, in fractional coordinates, are Ni at (0.000, 0.000, 0.167), Ag at (0.000, 0.000, 0.500) and H at (0.000, 0.500, 0.250).

The total energy is -1.032 Ry per atom.

Entry from Alexandria via LeMat-Bulk: MnCdAgMo2 at its PBEsol-relaxed geometry (SCAN).

The structure belongs to space group P4/mmm (No. 123); the cell edges are 4.343, 4.343 and 4.861 Å and the angles 90.00°, 90.00° and 90.00°. The distinct sites, in fractional coordinates, are Mn at (0.000, 0.000, 0.000), Cd at (0.000, 0.000, 0.500), Ag at (0.500, 0.500, 0.500) and Mo at (0.000, 0.500, 0.000).

The total energy is -2.115 Ry per atom. The value obtained for the formation energy is 1187 meV/atom.

Entry from Alexandria via LeMat-Bulk: LaZnCo at its PBEsol-relaxed geometry (SCAN).

The structure belongs to space group F-43m (No. 216); the cell edges are 6.369, 6.369 and 6.369 Å and the angles 90.00°, 90.00° and 90.00°. The distinct sites, in fractional coordinates, are La at (0.000, 0.000, 0.000), Zn at (0.250, 0.250, 0.250) and Co at (0.000, 0.000, 0.500).

The total energy is -1.787 Ry per atom. The value obtained for the formation energy is 328 meV/atom.

Entry from Alexandria via LeMat-Bulk: MgGeRh2 at its PBEsol-relaxed geometry (SCAN).

The structure belongs to space group Fm-3m (No. 225); the cell edges are 6.037, 6.037 and 6.037 Å and the angles 90.00°, 90.00° and 90.00°. The distinct sites, in fractional coordinates, are Mg at (0.000, 0.000, 0.000), Ge at (0.000, 0.000, 0.500) and Rh at (0.250, 0.250, 0.250).

The total energy is -1.736 Ry per atom. The value obtained for the formation energy is -720 meV/atom.

Entry from Alexandria via LeMat-Bulk: ThFe2Si2 at its PBEsol-relaxed geometry (SCAN).

The structure belongs to space group I4/mmm (No. 139); the cell edges are 3.999, 3.999 and 9.507 Å and the angles 90.00°, 90.00° and 90.00°. The distinct sites, in fractional coordinates, are Th at (0.000, 0.000, 0.000), Fe at (0.000, 0.500, 0.250) and Si at (0.000, 0.000, 0.362).

The total energy is -2.279 Ry per atom. The value obtained for the formation energy from raw total energies is -0.57 eV per atom.

Entry from Alexandria via LeMat-Bulk: ZrNiBr2 at its PBEsol-relaxed geometry (SCAN).

The structure belongs to space group C2/m (No. 12); the cell edges are 13.786, 3.409 and 4.046 Å and the angles 90.00°, 90.71° and 90.00°. The distinct sites, in fractional coordinates, are Zr at (0.000, 0.000, 0.000), Ni at (0.000, 0.500, 0.500) and Br at (0.145, 0.500, 0.218).

The total energy is -1.621 Ry per atom. The value obtained for the formation energy from raw total energies is -0.60 eV per atom.